PBE AsPtS2Cl, optimized geometry; formation energy (no corrections) = 0.53 eV per atom; final energy = -3.63 eV per atom; space-group type = P4/mmm; M_tot = 0.00 μB/cell; energy above the most stable polymorph in this dataset = 0.00 kJ/mol of atoms
1.0
4.7153 0.0000 0.0000
0.0000 4.7153 0.0000
0.0000 0.0000 4.7454
As Pt S Cl
1 1 2 1
Cartesian
0.0000 0.0000 0.0000
2.3577 2.3577 2.3727
0.0000 2.3577 2.3727
2.3577 0.0000 2.3727
2.3577 2.3577 0.0000